1.
Below is a geometry-optimized CuPbSF structure, with properties calculated at the GGA-PBE level.

a b c (Å): 6.2353 6.5665 7.7466
angles (deg): 90.00 90.00 90.00
With the nearest neighbours (Å) after each atom.
Space group P2_12_12_1 (No. 19)
Inequivalent atoms, fractional coordinates:
Cu1 0.1871 0.0416 0.2361 x4  1 F 2.04, 2 S 2.20-2.21
Pb1 0.2130 0.5494 0.5393 x4  2 F 2.47-2.56, 1 S 2.72
S1 0.0294 0.7621 0.1409 x4  2 Cu 2.20-2.21
F1 0.0108 0.4360 0.7956 x4  1 Cu 2.04

Properties
Uncorrected energy in eV per atom: -4.27
ΔE to the lowest computed polymorph in meV per atom: 145

***

2.
Below is a geometry-optimized CuPbSF structure, with properties calculated at the GGA-PBE level.

a b c (Å): 9.0302 17.3056 4.2071
angles (deg): 90.00 90.00 90.00
With the nearest neighbours (Å) after each atom.
Space group Pbam (No. 55)
Inequivalent atoms, fractional coordinates:
Cu1 0.0431 0.0997 0.0000 x4  2 S 2.20, 1 F 2.28
Cu2 0.1577 0.6513 0.0000 x4  2 S 2.21, 1 F 2.40
Pb1 0.1399 0.2517 0.5000 x4  2 F 2.39
Pb2 0.2061 0.4619 0.5000 x4  2 F 2.34
S1 0.0232 0.8842 0.5000 x4  2 Cu 2.20
S2 0.0986 0.6272 0.5000 x4  2 Cu 2.21
F1 0.2082 0.9998 0.0000 x4  1 Cu 2.28, 2 Pb 2.34
F2 0.2487 0.7813 0.0000 x4  2 Pb 2.39, 1 Cu 2.40

Properties
Uncorrected energy in eV per atom: -4.23
ΔE to the lowest computed polymorph in meV per atom: 189

***

3.
Below is a geometry-optimized CuPbSF structure, with properties calculated at the GGA-PBE level.

a b c (Å): 9.1077 18.1391 3.8951
angles (deg): 90.00 90.00 90.00
With the nearest neighbours (Å) after each atom.
Space group Pbam (No. 55)
Inequivalent atoms, fractional coordinates:
Cu1 0.0843 0.0559 0.0000 x4  2 F 2.16, 1 S 2.17
Cu2 0.1888 0.6399 0.0000 x4  2 S 2.19
Pb1 0.0318 0.2286 0.5000 x4  2 F 2.38-2.64
Pb2 0.2202 0.4163 0.5000 x4  2 F 2.46-2.52, 2 S 2.71
S1 0.1887 0.5190 0.0000 x4  2 Cu 2.17-2.19
S2 0.2474 0.2561 0.0000 x4  1 Cu 2.19
F1 0.0028 0.9161 0.5000 x4  2 Cu 2.16
F2 0.0220 0.6431 0.5000 x4  2 Pb 2.38-2.46, 2 Cu 2.47

Properties
Uncorrected energy in eV per atom: -4.22
ΔE to the lowest computed polymorph in meV per atom: 197

***

4.
Below is a geometry-optimized CuPbSF structure, with properties calculated at the GGA-PBE level.

a b c (Å): 3.9386 3.9386 8.7884
angles (deg): 90.00 90.00 90.00
With the nearest neighbours (Å) after each atom.
Space group P4/nmm (No. 129, origin choice 2)
Inequivalent atoms, fractional coordinates:
Cu1 0.2500 0.7500 0.0000 x2  4 S 2.41
Pb1 0.2500 0.2500 0.3199 x2  4 F 2.53
S1 0.2500 0.2500 0.8413 x2  4 Cu 2.41
F1 0.2500 0.7500 0.5000 x2  4 Pb 2.53, 4 F 2.79

Properties
Uncorrected energy in eV per atom: -4.41
ΔE to the lowest computed polymorph in meV per atom: 0